Entry 1:
Computed, not measured: a relaxed La2GeAu crystal at the GGA-PBE level of DFT.

a = 6.207 Å, b = 4.541 Å, c = 8.531 Å
α = 90.00°, β = 111.32°, γ = 90.00°
Space group P2_1/m (No. 11)
Inequivalent atoms, fractional coordinates:
La1 0.203 0.250 0.425
La2 0.293 0.750 0.066
Ge1 0.382 0.750 0.705
Au1 0.134 0.250 0.790

E_form   -0.81 eV per atom
Fermi-level density of states   4.20 states/eV/f.u.

Entry 2:
Computed, not measured: a relaxed Ba4TeSe2Cl crystal at the GGA-PBE level of DFT.

a = 9.522 Å, b = 9.542 Å, c = 13.450 Å
α = 90.00°, β = 90.00°, γ = 90.00°
Space group Imma (No. 74)
Inequivalent atoms, fractional coordinates:
Ba1 0.000 0.010 0.245
Ba2 0.239 0.250 0.005
Te1 0.250 0.250 0.750
Se1 0.000 0.000 0.000
Se2 0.250 0.250 0.250
Cl1 0.000 0.000 0.500

Uncorrected formation energy   -1935 meV per atom
Fermi-level density of states   3.34 states/eV/f.u.

Entry 3:
Computed, not measured: a relaxed GaSeO crystal at the GGA-PBE level of DFT.

a = 13.304 Å, b = 3.036 Å, c = 7.121 Å
α = 90.00°, β = 117.04°, γ = 90.00°
Space group C2/m (No. 12)
Inequivalent atoms, fractional coordinates:
Ga1 0.156 0.000 0.498
Se1 0.097 0.000 0.767
O1 0.167 0.500 0.359

Uncorrected formation energy   -965 meV per atom
Fermi-level density of states   0.60 states/eV/f.u.

Entry 4:
Computed, not measured: a relaxed MgFePdAu crystal at the GGA-PBE level of DFT.

a = 6.324 Å, b = 6.324 Å, c = 6.324 Å
α = 90.00°, β = 90.00°, γ = 90.00°
Space group F-43m (No. 216)
Inequivalent atoms, fractional coordinates:
Mg1 0.000 0.000 0.000
Fe1 0.000 0.000 0.500
Pd1 0.250 0.250 0.250
Au1 0.250 0.250 0.750

E_form   -0.24 eV per atom
Fermi-level density of states   3.21 states/eV/f.u.

Entry 5:
Computed, not measured: a relaxed CdAg2Br2O crystal at the GGA-PBE level of DFT.

a = 12.609 Å, b = 6.979 Å, c = 6.657 Å
α = 90.00°, β = 90.00°, γ = 90.00°
Space group Cmc2_1 (No. 36)
Inequivalent atoms, fractional coordinates:
Cd1 0.000 0.000 0.000
Ag1 0.118 0.428 0.251
Br1 0.163 0.212 0.751
O1 0.000 0.193 0.250

Uncorrected formation energy   -483 meV per atom
Fermi-level density of states   0.01 states/eV/f.u.

Entry 6:
Computed, not measured: a relaxed BaLiMgTl2 crystal at the GGA-PBE level of DFT.

a = 5.324 Å, b = 5.324 Å, c = 5.267 Å
α = 90.00°, β = 90.00°, γ = 90.00°
Space group P4/mmm (No. 123)
Inequivalent atoms, fractional coordinates:
Ba1 0.000 0.000 0.000
Li1 0.500 0.500 0.500
Mg1 0.500 0.500 0.000
Tl1 0.000 0.500 0.500

E_form   -0.14 eV per atom
Fermi-level density of states   3.70 states/eV/f.u.
Relative energy among the computed polymorphs   0.1114 eV/atom

Entry 7:
Computed, not measured: a relaxed Ca12TlCd6 crystal at the GGA-PBE level of DFT.

a = 10.763 Å, b = 10.763 Å, c = 10.763 Å
α = 90.00°, β = 90.00°, γ = 90.00°
Space group Im-3 (No. 204)
Inequivalent atoms, fractional coordinates:
Ca1 0.000 0.281 0.182
Tl1 0.000 0.000 0.000
Cd1 0.000 0.134 0.500

E_form   -0.24 eV per atom
Fermi-level density of states   12.39 states/eV/f.u.

Entry 8:
Computed, not measured: a relaxed Ba4HgRh crystal at the GGA-PBE level of DFT.

a = 9.828 Å, b = 9.828 Å, c = 9.828 Å
α = 90.00°, β = 90.00°, γ = 90.00°
Space group F-43m (No. 216)
Inequivalent atoms, fractional coordinates:
Ba1 0.124 0.124 0.376
Hg1 0.000 0.000 0.000
Rh1 0.250 0.250 0.750

E_form   0.66 eV per atom
Fermi-level density of states   6.89 states/eV/f.u.
Relative energy among the computed polymorphs   0.9175 eV/atom